{
  "formula": "RbHSO4",
  "functional": "PBE",
  "state": "optimized geometry",
  "lattice": [[-2.078, 2.831, 3.086], [-8.646, -11.015, 4.282], [12.956, 1.932, 6.954]],
  "species": ["Rb", "S", "O", "H", "O", "S", "O", "O", "Rb", "S", "Rb", "S", "O", "S", "H", "H", "S", "O", "O", "O", "O", "H", "O", "H", "O", "O", "S", "O", "O", "Rb", "O", "O", "O", "O", "Rb", "O", "O", "O", "O", "Rb", "O", "O", "O", "H", "H", "Rb", "O", "O", "O", "O", "O", "S", "O", "Rb", "O", "H"],
  "frac_coords": [[0.141, 0.705, 0.582], [0.264, 0.205, 0.577], [0.274, 0.449, 0.226], [0.706, 0.516, 0.384], [0.521, 0.221, 0.883], [0.713, 0.550, 0.675], [0.619, 0.803, 0.518], [0.774, 0.051, 0.274], [0.287, 0.959, 0.337], [0.787, 0.050, 0.175], [0.859, 0.295, 0.418], [0.736, 0.795, 0.423], [0.499, 0.742, 0.336], [0.236, 0.705, 0.077], [0.294, 0.484, 0.616], [0.700, 0.261, 0.637], [0.213, 0.950, 0.825], [0.482, 0.983, 0.884], [0.302, 0.605, 0.071], [0.802, 0.895, 0.429], [0.018, 0.483, 0.384], [0.800, 0.761, 0.137], [0.999, 0.959, 0.103], [0.794, 0.016, 0.884], [0.198, 0.105, 0.571], [0.999, 0.758, 0.164], [0.287, 0.450, 0.325], [0.381, 0.197, 0.482], [0.518, 0.017, 0.116], [0.641, 0.795, 0.918], [0.897, 0.147, 0.183], [0.397, 0.353, 0.317], [0.501, 0.459, 0.603], [0.881, 0.303, 0.018], [0.713, 0.041, 0.663], [0.226, 0.949, 0.726], [0.001, 0.041, 0.897], [0.501, 0.258, 0.664], [0.499, 0.541, 0.397], [0.359, 0.205, 0.082], [0.979, 0.721, 0.383], [0.103, 0.853, 0.817], [0.119, 0.697, 0.982], [0.200, 0.239, 0.863], [0.300, 0.739, 0.363], [0.787, 0.541, 0.163], [0.001, 0.242, 0.836], [0.603, 0.647, 0.683], [0.479, 0.779, 0.117], [0.698, 0.395, 0.929], [0.021, 0.279, 0.617], [0.764, 0.295, 0.923], [0.726, 0.551, 0.774], [0.213, 0.459, 0.837], [0.982, 0.517, 0.616], [0.206, 0.984, 0.116]],
  "spacegroup": "P2_1/c (14)",
  "vol_a3_per_cell": 892.4,
  "total_energy_ev_per_cell": -313.79
}

=====

{
  "formula": "Rb3HS2O8",
  "functional": "PBE",
  "state": "optimized geometry",
  "lattice": [[-0.612, -7.834, 3.267], [3.920, -4.573, -10.230], [7.157, 6.619, 6.672]],
  "species": ["O", "Rb", "H", "Rb", "O", "O", "O", "Rb", "Rb", "O", "H", "S", "O", "O", "S", "O", "O", "O", "H", "Rb", "S", "O", "O", "O", "O", "Rb", "Rb", "S", "Rb", "S", "O", "S", "S", "O", "O", "Rb", "O", "O", "O", "O", "O", "O", "S", "H", "O", "O", "O", "O", "Rb", "O", "O", "Rb", "Rb", "O", "O", "O"],
  "frac_coords": [[0.293, 0.867, 0.329], [0.527, 0.766, 0.532], [0.736, 0.482, 0.717], [0.000, 0.772, 0.000], [0.707, 0.133, 0.671], [0.289, 0.617, 0.027], [0.993, 0.885, 0.294], [0.068, 0.857, 0.714], [0.412, 0.664, 0.802], [0.711, 0.105, 0.003], [0.736, 0.235, 0.717], [0.338, 0.557, 0.115], [0.770, 0.923, 0.519], [0.230, 0.405, 0.481], [0.685, 0.956, 0.912], [0.494, 0.101, 0.201], [0.506, 0.899, 0.799], [0.238, 0.607, 0.213], [0.264, 0.765, 0.283], [0.000, 0.228, 0.000], [0.834, 0.525, 0.592], [0.007, 0.591, 0.706], [0.183, 0.618, 0.504], [0.230, 0.077, 0.481], [0.809, 0.921, 0.841], [0.412, 0.138, 0.802], [0.473, 0.234, 0.468], [0.315, 0.044, 0.088], [0.588, 0.336, 0.198], [0.166, 0.475, 0.408], [0.707, 0.538, 0.671], [0.834, 0.067, 0.592], [0.166, 0.933, 0.408], [0.817, 0.114, 0.496], [0.477, 0.395, 0.790], [0.588, 0.862, 0.198], [0.289, 0.895, 0.997], [0.191, 0.079, 0.159], [0.711, 0.898, 0.003], [0.523, 0.605, 0.210], [0.993, 0.409, 0.294], [0.817, 0.382, 0.496], [0.662, 0.443, 0.885], [0.264, 0.518, 0.283], [0.289, 0.410, 0.027], [0.293, 0.462, 0.329], [0.762, 0.393, 0.787], [0.770, 0.595, 0.519], [0.879, 0.634, 0.268], [0.711, 0.383, 0.973], [0.711, 0.590, 0.973], [0.932, 0.143, 0.286], [0.121, 0.366, 0.732], [0.183, 0.886, 0.504], [0.007, 0.115, 0.706], [0.289, 0.102, 0.997]],
  "spacegroup": "C2/m (12)",
  "vol_a3_per_cell": 947.5,
  "total_energy_ev_per_cell": -312.43
}